Entry 1:
Here is BaSr2Ca at its PBEsol-relaxed geometry from the Alexandria database. Energies are from meta-GGA SCAN.

abc: 4.7363 6.5142 12.9378
angles: 90.00 90.00 90.00
Last column: nearest neighbours and their distance in Å.
Space group Cmmm (No. 65)
Inequivalent atoms, fractional coordinates:
Ba 0.0000 0.0000 0.0000  4 Ba 4.03, 4 Sr 4.12
Sr 0.0000 0.5000 0.2606  2 Ca 3.90, 4 Sr 4.03, 2 Ba 4.12
Ca 0.0000 0.0000 0.5000  4 Sr 3.90, 4 Ca 4.03

Summary:
The relative energy among the computed polymorphs comes out at 0.003 eV per atom.


Entry 2:
Here is Zr2CdMo at its PBEsol-relaxed geometry from the Alexandria database. Energies are from meta-GGA SCAN.

abc: 2.9664 4.3523 6.1308
angles: 90.00 101.37 90.00
Last column: nearest neighbours and their distance in Å.
Space group P2/m (No. 10)
Inequivalent atoms, fractional coordinates:
Zr 0.1121 0.0000 0.2694  2 Mo 2.72, 3 Zr 2.97-3.03
Cd 0.5000 0.5000 0.0000  2 Cd 2.97, 2 Mo 3.07, 8 Zr 3.09
Mo 0.5000 0.5000 0.5000  4 Zr 2.72, 2 Mo 2.97

Summary:
As for the calculated total energy: -126.718 eV/f.u.


Entry 3:
Here is Tl2AsPt at its PBEsol-relaxed geometry from the Alexandria database. Energies are from meta-GGA SCAN.

abc: 7.3965 4.0520 7.0564
angles: 90.00 109.29 90.00
Last column: nearest neighbours and their distance in Å.
Space group Cm (No. 8)
Inequivalent atoms, fractional coordinates:
Tl 0.0000 0.0000 0.0000  3 Pt 3.02-3.12, 3 As 3.24-3.34
Tl 0.2104 0.0000 0.6346  3 As 3.12-3.14, 3 Pt 3.30-3.48, 3 Tl 3.42
As 0.4429 0.0000 0.3339  3 Pt 2.42-2.44
Pt 0.2526 0.5000 0.2821  3 As 2.42-2.44

Summary:
The relative energy among the computed polymorphs comes out at 0.000 eV per atom.


Entry 4:
Here is ZrNbN3 at its PBEsol-relaxed geometry from the Alexandria database. Energies are from meta-GGA SCAN.

abc: 4.0523 4.0523 4.0523
angles: 90.00 90.00 90.00
Last column: nearest neighbours and their distance in Å.
Space group Pm-3m (No. 221)
Inequivalent atoms, fractional coordinates:
Zr 0.0000 0.0000 0.0000  6 N 2.03
Nb 0.5000 0.5000 0.5000  12 N 2.87
N 0.0000 0.0000 0.5000  2 Zr 2.03

Summary:
The value obtained for the energy relative to the elements, uncorrected is 401 meV/atom.


Entry 5:
Here is CrRe3Pt at its PBEsol-relaxed geometry from the Alexandria database. Energies are from meta-GGA SCAN.

abc: 4.6770 4.6770 4.6770
angles: 90.00 90.00 90.00
Last column: nearest neighbours and their distance in Å.
Space group Pm-3m (No. 221)
Inequivalent atoms, fractional coordinates:
Cr 0.0000 0.0000 0.0000  12 Re 3.31
Re 0.0000 0.5000 0.5000  2 Pt 2.34
Pt 0.5000 0.5000 0.5000  6 Re 2.34

Summary:
As for the calculated total energy: -289.919 eV/f.u.


Entry 6:
Here is ScMoCl2 at its PBEsol-relaxed geometry from the Alexandria database. Energies are from meta-GGA SCAN.

abc: 5.9319 8.1886 3.4631
angles: 90.00 124.04 90.00
Last column: nearest neighbours and their distance in Å.
Space group C2/m (No. 12)
Inequivalent atoms, fractional coordinates:
Sc 0.0000 0.0000 0.0000  4 Cl 2.53
Mo 0.0000 0.5000 0.0000  4 Cl 2.53
Cl 0.2500 0.2500 0.0000  2 Sc 2.53, 2 Mo 2.53

Summary:
The value obtained for the energy relative to the elements, uncorrected is -348 meV/atom. The relative energy among the computed polymorphs comes out at 0.341 eV per atom.